A plane-wave DFT calculation with PBE+U was carried out for an optimized crystal structure of Ba3PaFe2O9.

a = 5.879 Å, b = 5.879 Å, c = 7.284 Å
α = 90.00°, β = 90.00°, γ = 120.00°
Element x y z (fractional)
Ba  0.000  0.000  0.000
Ba  0.333  0.667  0.689
Ba  0.667  0.333  0.311
Pa  0.000  0.000  0.500
Fe  0.333  0.667  0.157
Fe  0.667  0.333  0.843
O  0.000  0.500  0.000
O  0.172  0.344  0.325
O  0.172  0.828  0.325
O  0.344  0.172  0.675
O  0.500  0.000  0.000
O  0.500  0.500  0.000
O  0.656  0.828  0.325
O  0.828  0.172  0.675
O  0.828  0.656  0.675

- Fermi-level density of states (states/eV/atom) = 0.176
- volume (Å³/atom) = 14.53
- raw total energy (Ha/atom) = -0.266
- SG = P-3m1